Density functional theory data (GGA-PBE) for a relaxed YErTmTh crystal.

Calculated values
density: 8.61 g/cm³
energy: -5.60 eV per atom
calculated formation energy: 0.132 eV per atom
energy relative to the lowest polymorph listed for this composition: 0.128 eV/atom
space group: F-43m, No. 216

Structure (POSCAR):
```
YErTmTh
1.0
0.0000 3.9874 3.9874
3.9874 0.0000 3.9874
3.9874 3.9874 0.0000
Y Er Tm Th
1 1 1 1
Direct
0.0000 0.0000 0.0000 Y
0.7500 0.7500 0.7500 Er
0.2500 0.2500 0.2500 Tm
0.5000 0.5000 0.5000 Th
```